No. 1
A plane-wave DFT calculation with meta-GGA SCAN was carried out for a PBEsol-optimized structure of HfZnNO2.

```
HfZnNO2
1.0
4.004 0.000 0.000
0.000 4.004 0.000
0.000 0.000 4.230
O N Zn Hf
2 1 1 1
Cartesian
0.000 2.002 0.000
2.002 0.000 0.000
0.000 0.000 2.115
2.002 2.002 2.115
0.000 0.000 0.000
```

Values from the calculation:
- total magnetic moment (μB/cell) = 1.04
- formation energy without anion corrections (eV/atom) = -1.20
- energy (eV per atom) = -20.7868
- theoretical density (g cm⁻³) = 7.1
- space group = No. 123
- crystal system = tetragonal


No. 2
A plane-wave DFT calculation with meta-GGA SCAN was carried out for a PBEsol-optimized structure of PBr2N.

```
PBr2N
1.0
3.470 0.000 0.000
1.735 3.005 0.000
1.735 1.002 7.669
Br P N
2 1 1
Cartesian
1.735 1.002 5.724
5.206 3.005 1.945
3.470 2.004 3.834
0.000 0.000 0.000
```

Values from the calculation:
- total magnetic moment (μB/cell) = 0.86
- formation energy without anion corrections (eV/atom) = 1.59
- energy (eV per atom) = -13.0605
- theoretical density (g cm⁻³) = 4.3
- excess energy over the best structure of this formula in the dataset (meV per atom) = 2021
- space group = No. 166
- crystal system = trigonal


No. 3
A plane-wave DFT calculation with meta-GGA SCAN was carried out for a PBEsol-optimized structure of KAlTc2.

```
KAlTc2
1.0
-1.257 -1.224 1.830
0.531 -4.720 -2.792
3.893 1.427 3.628
Al K Tc
1 1 2
Cartesian
-0.628 -0.612 0.915
1.584 -2.258 1.333
0.266 -2.360 -1.396
1.946 0.714 1.814
```

Values from the calculation:
- total magnetic moment (μB/cell) = 0.00
- energy (eV per atom) = -20.4409
- theoretical density (g cm⁻³) = 6.5
- formation energy from the elements (meV per atom) = 1109.2
- space group = No. 65
- crystal system = orthorhombic